(1)
KAgHg2: relaxed, GGA-PBE.

a = 3.3463 Å, b = 4.1865 Å, c = 7.6937 Å
α = 90.00°, β = 90.00°, γ = 90.00°
Positions (direct):
1 Hg 0.0000 0.0000 0.5489
2 Ag 0.5000 0.5000 0.7500
3 K 0.5000 0.5000 0.2500
4 Hg 0.0000 0.0000 0.9511

Summary:
SG: Pmmm
Formation energy from the elements: -0.3 eV per formula unit
Magnetization: 0.00 Bohr magnetons per cell
E above lowest polymorph: 3.8 kJ/mol of atoms
VASP energy: -4.88 eV per cell
Fermi-level density of states: 1.58 states/eV/cell

***

(2)
KAg2Hg: relaxed, GGA-PBE.

a = 4.8669 Å, b = 4.8669 Å, c = 6.4665 Å
α = 67.86°, β = 67.86°, γ = 60.09°
Positions (direct):
1 Hg 0.5496 0.5496 0.3517
2 Ag 0.9421 0.9421 0.1739
3 Ag 0.2614 0.2614 0.2164
4 K 0.7469 0.7469 0.7579

Summary:
SG: Cm
Formation energy from the elements: -0.2 eV per formula unit
Magnetization: 0.00 Bohr magnetons per cell
E above lowest polymorph: 0.0 kJ/mol of atoms
VASP energy: -7.26 eV per cell
Fermi-level density of states: 1.55 states/eV/cell

***

(3)
KAgHg2: relaxed, GGA-PBE.

a = 4.7607 Å, b = 3.3181 Å, c = 7.2858 Å
α = 89.55°, β = 90.00°, γ = 90.00°
Positions (direct):
1 Hg 0.0000 0.1270 0.9314
2 K 0.0000 0.6193 0.4935
3 Hg 0.5000 0.1234 0.2195
4 Ag 0.5000 0.6304 0.8556

Summary:
SG: Pm
Formation energy from the elements: -0.2 eV per formula unit
Magnetization: 0.00 Bohr magnetons per cell
E above lowest polymorph: 6.6 kJ/mol of atoms
VASP energy: -4.76 eV per cell
Fermi-level density of states: 0.92 states/eV/cell

***

(4)
KAgHg2: relaxed, GGA-PBE.

a = 5.3732 Å, b = 5.3732 Å, c = 5.3732 Å
α = 60.00°, β = 60.00°, γ = 60.00°
Positions (direct):
1 Ag 0.5000 0.5000 0.5000
2 Hg 0.7500 0.7500 0.7500
3 K 0.0000 0.0000 0.0000
4 Hg 0.2500 0.2500 0.2500

Summary:
SG: Fm-3m
Formation energy from the elements: -0.2 eV per formula unit
Magnetization: 0.00 Bohr magnetons per cell
E above lowest polymorph: 6.0 kJ/mol of atoms
VASP energy: -4.79 eV per cell
Fermi-level density of states: 1.50 states/eV/cell